A.
First-principles (PBE-GGA) data for Pm7Sm4Y after structural relaxation, as listed in Alexandria.

The structure belongs to space group P-1 (No. 2); the cell edges are 6.348, 7.332 and 9.061 Å and the angles 89.97°, 76.49° and 90.00°. Symmetry generates all atoms from Pm at (0.000, 0.000, 0.000), Pm at (0.222, 0.500, 0.333), Pm at (0.278, 0.250, 0.668), Pm at (0.500, 0.250, 0.000), Sm at (0.222, 0.000, 0.333), Sm at (0.278, 0.750, 0.668) and Y at (0.000, 0.500, 0.000).

As for the calculated density: 6.91 g cm⁻³. The calculation puts the magnetization at 0.00 μB/atom.

***

B.
First-principles (PBE-GGA) data for Pm7Sm4Y after structural relaxation, as listed in Alexandria.

The structure belongs to space group C2/m (No. 12); the cell edges are 12.173, 6.071 and 12.889 Å and the angles 90.00°, 117.89° and 90.00°. Symmetry generates all atoms from Pm at (0.000, 0.000, 0.000), Pm at (0.130, 0.500, 0.500), Pm at (0.209, 0.000, 0.921), Pm at (0.243, 0.000, 0.680), Sm at (0.062, 0.000, 0.324), Sm at (0.136, 0.500, 0.777) and Y at (0.000, 0.500, 0.000).

As for the calculated density: 6.73 g cm⁻³. The calculation puts the magnetization at 0.00 μB/atom.

***

Relative to the most stable one, in kJ/mol of atoms, the structures come out at A 0.0; B 23.3.